No. 1
# PBE-GGA Sm3Ga5Au6, optimized geometry
data_Sm3Ga5Au6
_chemical_formula_sum 'Sm6 Ga10 Au12'
_cell_length_a 4.388
_cell_length_b 13.514
_cell_length_c 9.615
_cell_angle_alpha 90.00
_cell_angle_beta 90.00
_cell_angle_gamma 90.00
_symmetry_space_group_name_H-M 'P m m n'
_symmetry_Int_Tables_number 59
loop_
_symmetry_equiv_pos_as_xyz
'x,y,z'
'-x,-y,-z'
'-x+1/2,-y+1/2,z'
'x+1/2,y+1/2,-z'
'x+1/2,-y,-z'
'-x+1/2,y,z'
'-x,y+1/2,-z'
'x,-y+1/2,z'
loop_
_atom_site_label
_atom_site_type_symbol
_atom_site_fract_x
_atom_site_fract_y
_atom_site_fract_z
Sm1 Sm 0.250 0.072 0.241
Sm2 Sm 0.250 0.750 0.247
Ga1 Ga 0.250 0.083 0.859
Ga2 Ga 0.250 0.639 0.547
Ga3 Ga 0.250 0.750 0.798
Au1 Au 0.250 0.056 0.594
Au2 Au 0.250 0.250 0.018
Au3 Au 0.250 0.250 0.488
Au4 Au 0.250 0.597 0.998
# Energy of formation from the pure elements, eV per formula unit: -8.91

No. 2
# PBE-GGA NaInRu3, optimized geometry
data_NaInRu3
_chemical_formula_sum 'Na1 In1 Ru3'
_cell_length_a 4.581
_cell_length_b 4.581
_cell_length_c 4.581
_cell_angle_alpha 90.00
_cell_angle_beta 90.00
_cell_angle_gamma 90.00
_symmetry_space_group_name_H-M 'P m -3 m'
_symmetry_Int_Tables_number 221
_symmetry_space_group_name_Hall '-P 4 2 3'
loop_
_atom_site_label
_atom_site_type_symbol
_atom_site_fract_x
_atom_site_fract_y
_atom_site_fract_z
Na1 Na 0.000 0.000 0.000
In1 In 0.500 0.500 0.500
Ru1 Ru 0.000 0.000 0.500
# Energy of formation from the pure elements, eV per formula unit: 10.06
# Energy above the most stable polymorph in this dataset, eV per formula unit: 0.94

No. 3
# PBE-GGA ScCdGe, optimized geometry
data_ScCdGe
_chemical_formula_sum 'Sc4 Cd4 Ge4'
_cell_length_a 10.611
_cell_length_b 3.245
_cell_length_c 7.601
_cell_angle_alpha 90.00
_cell_angle_beta 105.20
_cell_angle_gamma 90.00
_symmetry_space_group_name_H-M 'C 1 2/m 1'
_symmetry_Int_Tables_number 12
loop_
_symmetry_equiv_pos_as_xyz
'x,y,z'
'-x,-y,-z'
'-x,y,-z'
'x,-y,z'
'x+1/2,y+1/2,z'
'-x+1/2,-y+1/2,-z'
'-x+1/2,y+1/2,-z'
'x+1/2,-y+1/2,z'
loop_
_atom_site_label
_atom_site_type_symbol
_atom_site_fract_x
_atom_site_fract_y
_atom_site_fract_z
Sc1 Sc 0.157 0.000 0.134
Cd1 Cd 0.136 0.500 0.493
Ge1 Ge 0.068 0.500 0.823
# Energy of formation from the pure elements, eV per formula unit: -1.04

No. 4
# PBE-GGA TaSb2W, optimized geometry
data_TaSb2W
_chemical_formula_sum 'Ta2 Sb4 W2'
_cell_length_a 4.406
_cell_length_b 4.406
_cell_length_c 8.190
_cell_angle_alpha 90.00
_cell_angle_beta 90.00
_cell_angle_gamma 90.00
_symmetry_space_group_name_H-M 'I -4 m 2'
_symmetry_Int_Tables_number 119
_symmetry_space_group_name_Hall 'I -4 -2'
loop_
_atom_site_label
_atom_site_type_symbol
_atom_site_fract_x
_atom_site_fract_y
_atom_site_fract_z
Ta1 Ta 0.000 0.000 0.000
Sb1 Sb 0.000 0.000 0.500
Sb2 Sb 0.000 0.500 0.250
W1 W 0.000 0.500 0.750
# Energy above the most stable polymorph in this dataset, eV per formula unit: 1.87
# Uncorrected formation energy, kcal/mol of atoms: 13.5

> Number 4 is which compound?

TaSb2W

What did the first record say?
# PBE-GGA Sm3Ga5Au6, optimized geometry
data_Sm3Ga5Au6
_chemical_formula_sum 'Sm6 Ga10 Au12'
_cell_length_a 4.388
_cell_length_b 13.514
_cell_length_c 9.615
_cell_angle_alpha 90.00
_cell_angle_beta 90.00
_cell_angle_gamma 90.00
_symmetry_space_group_name_H-M 'P m m n'
_symmetry_Int_Tables_number 59
loop_
_symmetry_equiv_pos_as_xyz
'x,y,z'
'-x,-y,-z'
'-x+1/2,-y+1/2,z'
'x+1/2,y+1/2,-z'
'x+1/2,-y,-z'
'-x+1/2,y,z'
'-x,y+1/2,-z'
'x,-y+1/2,z'
loop_
_atom_site_label
_atom_site_type_symbol
_atom_site_fract_x
_atom_site_fract_y
_atom_site_fract_z
Sm1 Sm 0.250 0.072 0.241
Sm2 Sm 0.250 0.750 0.247
Ga1 Ga 0.250 0.083 0.859
Ga2 Ga 0.250 0.639 0.547
Ga3 Ga 0.250 0.750 0.798
Au1 Au 0.250 0.056 0.594
Au2 Au 0.250 0.250 0.018
Au3 Au 0.250 0.250 0.488
Au4 Au 0.250 0.597 0.998
# Energy of formation from the pure elements, eV per formula unit: -8.91